1.
Density functional theory data (PBE) for LaNd12Er7 after structural relaxation.

abc: 10.0045 10.0045 10.0045
angles: 109.47 109.47 109.47
With the nearest neighbours (Å) after each atom.
Atoms (fractional coordinates):
Nd (0.2846, 0.2312, 0.5157)  2 Er 2.92
Nd (0.7688, 0.0534, 0.2846)  2 Er 2.92
Nd (0.7154, 0.7688, 0.4843)  2 Er 2.92
Nd (0.7154, 0.2312, 0.9466)  2 Er 2.92
Nd (0.5157, 0.2846, 0.2312)  2 Er 2.92
Nd (0.4843, 0.7154, 0.7688)  2 Er 2.92
Nd (0.2312, 0.9466, 0.7154)  2 Er 2.92
Nd (0.7688, 0.4843, 0.7154)  2 Er 2.92
Nd (0.0534, 0.2846, 0.7688)  2 Er 2.92
Nd (0.2846, 0.7688, 0.0534)  2 Er 2.92
Nd (0.9466, 0.7154, 0.2312)  2 Er 2.92
Nd (0.2312, 0.5157, 0.2846)  2 Er 2.92
Er (0.5000, 0.5000, 0.0000)  8 Nd 3.65-3.98
Er (0.5000, 0.0000, 0.0000)  6 Nd 2.92
Er (0.5000, 0.0000, 0.5000)  8 Nd 3.65-3.98
Er (0.0000, 0.5000, 0.5000)  8 Nd 3.65-3.98
Er (0.5000, 0.5000, 0.5000)  6 Nd 2.92
Er (0.0000, 0.5000, 0.0000)  6 Nd 2.92
Er (0.0000, 0.0000, 0.5000)  6 Nd 2.92
La (0.0000, 0.0000, 0.0000)  12 Nd 4.24

Results
The volume comes out at 770.8 Å³/cell. The polymorph energy (0 for the lowest one) is 516.4 meV/atom. The density of states at the Fermi level comes out at 27.4 states/eV/cell. As for the formation energy: 0.666 eV/atom. For the size of the total moment, the calculation gives 0.00 μB/f.u. The calculated total energy is -4.0382 eV/atom.

=====

2.
Density functional theory data (PBE) for LaNd6Er3 after structural relaxation.

abc: 6.3640 11.1260 11.1260
angles: 120.40 90.00 90.00
With the nearest neighbours (Å) after each atom.
Atoms (fractional coordinates):
Er (0.4649, 0.2902, 0.0598)  6 Nd 3.32-3.57, 1 La 3.36, 1 Er 3.69
Er (0.0933, 0.3834, 0.6166)  7 Nd 3.44-3.75, 2 Er 3.69, 1 La 3.75
Er (0.9649, 0.7098, 0.9402)  6 Nd 3.32-3.57, 1 La 3.36, 1 Er 3.69
Er (0.9649, 0.0598, 0.2902)  6 Nd 3.32-3.57, 1 La 3.36, 1 Er 3.69
Er (0.4649, 0.9402, 0.7098)  6 Nd 3.32-3.57, 1 La 3.36, 1 Er 3.69
Er (0.5933, 0.6166, 0.3834)  7 Nd 3.44-3.75, 2 Er 3.69, 1 La 3.75
La (0.0970, 0.1893, 0.8107)  4 Nd 3.28-3.38, 2 Er 3.36
La (0.5970, 0.8107, 0.1893)  4 Nd 3.28-3.38, 2 Er 3.36
Nd (0.5503, 0.2926, 0.3728)  4 Er 3.48-3.75, 5 Nd 3.54-3.85
Nd (0.0503, 0.3728, 0.2926)  4 Er 3.48-3.75, 5 Nd 3.54-3.85
Nd (0.3728, 0.0555, 0.4740)  1 Nd 3.14, 1 La 3.28, 2 Er 3.32-3.50
Nd (0.0503, 0.7074, 0.6272)  4 Er 3.48-3.75, 5 Nd 3.54-3.85
Nd (0.5503, 0.6272, 0.7074)  4 Er 3.48-3.75, 5 Nd 3.54-3.85
Nd (0.8710, 0.0362, 0.9638)  1 La 3.29, 2 Nd 3.48, 4 Er 3.56-3.57
Nd (0.3728, 0.5260, 0.9445)  1 Nd 3.14, 1 La 3.28, 2 Er 3.32-3.50
Nd (0.1481, 0.7174, 0.2826)  2 Nd 3.14, 1 La 3.38, 1 Er 3.44
Nd (0.8728, 0.4740, 0.0555)  1 Nd 3.14, 1 La 3.28, 2 Er 3.32-3.50
Nd (0.8728, 0.9445, 0.5260)  1 Nd 3.14, 1 La 3.28, 2 Er 3.32-3.50
Nd (0.6481, 0.2826, 0.7174)  2 Nd 3.14, 1 La 3.38, 1 Er 3.44
Nd (0.3710, 0.9638, 0.0362)  1 La 3.29, 2 Nd 3.48, 4 Er 3.56-3.57

Results
The volume comes out at 679.5 Å³/cell. The polymorph energy (0 for the lowest one) is 0.0 meV/atom. The density of states at the Fermi level comes out at 29.0 states/eV/cell. As for the formation energy: 0.141 eV/atom. For the size of the total moment, the calculation gives 0.00 μB/f.u. The calculated total energy is -4.5813 eV/atom.

=====

3.
Density functional theory data (PBE) for La2NdEr9 after structural relaxation.

abc: 3.4981 11.3113 11.3113
angles: 120.00 90.00 90.00
With the nearest neighbours (Å) after each atom.
Atoms (fractional coordinates):
La (0.0000, 0.6667, 0.3333)  9 Er 3.27-3.58, 2 La 3.50
La (0.0000, 0.3333, 0.6667)  9 Er 3.27-3.58, 2 La 3.50
Er (0.5000, 0.3477, 0.1738)  8 Er 3.41-3.64, 2 La 3.58
Er (0.5000, 0.1738, 0.8262)  8 Er 3.41-3.64, 2 La 3.58
Er (0.0000, 0.0000, 0.5000)  2 La 3.27, 10 Er 3.50-3.64
Er (0.5000, 0.1738, 0.3477)  8 Er 3.41-3.64, 2 La 3.58
Er (0.0000, 0.5000, 0.5000)  2 La 3.27, 10 Er 3.50-3.64
Er (0.5000, 0.8262, 0.6523)  8 Er 3.41-3.64, 2 La 3.58
Er (0.5000, 0.6523, 0.8262)  8 Er 3.41-3.64, 2 La 3.58
Er (0.0000, 0.5000, 0.0000)  2 La 3.27, 10 Er 3.50-3.64
Er (0.5000, 0.8262, 0.1738)  8 Er 3.41-3.64, 2 La 3.58
Nd (0.0000, 0.0000, 0.0000)  2 Nd 3.50, 12 Er 3.83

Results
The volume comes out at 387.6 Å³/cell. The polymorph energy (0 for the lowest one) is 53.6 meV/atom. The density of states at the Fermi level comes out at 19.4 states/eV/cell. As for the formation energy: 0.087 eV/atom. For the size of the total moment, the calculation gives 0.01 μB/f.u. The calculated total energy is -4.5535 eV/atom.

=====

4.
Density functional theory data (PBE) for La6Nd8Er after structural relaxation.

abc: 9.3680 9.3680 8.9329
angles: 58.38 58.38 60.00
With the nearest neighbours (Å) after each atom.
Atoms (fractional coordinates):
Nd (0.1136, 0.7600, 0.4181)  3 La 3.45-3.79, 5 Nd 3.53-3.58, 1 Er 3.62
Nd (0.7600, 0.7083, 0.4181)  3 La 3.45-3.79, 5 Nd 3.53-3.58, 1 Er 3.62
Nd (0.2917, 0.8864, 0.5819)  3 La 3.45-3.79, 5 Nd 3.53-3.58, 1 Er 3.62
Nd (0.4224, 0.4224, 0.7329)  4 Nd 3.31-3.53, 3 La 3.52
Nd (0.7083, 0.1136, 0.4181)  3 La 3.45-3.79, 5 Nd 3.53-3.58, 1 Er 3.62
Nd (0.2400, 0.2917, 0.5819)  3 La 3.45-3.79, 5 Nd 3.53-3.58, 1 Er 3.62
Nd (0.5776, 0.5776, 0.2671)  4 Nd 3.31-3.53, 3 La 3.52
Nd (0.8864, 0.2400, 0.5819)  3 La 3.45-3.79, 5 Nd 3.53-3.58, 1 Er 3.62
La (0.7614, 0.4623, 0.8709)  4 Nd 3.45-3.79, 1 Er 3.59, 2 La 3.67
La (0.2386, 0.5377, 0.1291)  4 Nd 3.45-3.79, 1 Er 3.59, 2 La 3.67
La (0.9054, 0.7614, 0.8709)  4 Nd 3.45-3.79, 1 Er 3.59, 2 La 3.67
La (0.0946, 0.2386, 0.1291)  4 Nd 3.45-3.79, 1 Er 3.59, 2 La 3.67
La (0.4623, 0.9054, 0.8709)  4 Nd 3.45-3.79, 1 Er 3.59, 2 La 3.67
La (0.5377, 0.0946, 0.1291)  4 Nd 3.45-3.79, 1 Er 3.59, 2 La 3.67
Er (0.0000, 0.0000, 0.0000)  6 La 3.59, 6 Nd 3.62

Results
The volume comes out at 540.3 Å³/cell. The density of states at the Fermi level comes out at 24.9 states/eV/cell. As for the formation energy: 0.098 eV/atom. For the size of the total moment, the calculation gives 0.00 μB/f.u. The calculated total energy is -4.7200 eV/atom.